Record 1
Compound: LiRe2SnPd
Source: Alexandria via LeMat-Bulk
Functional: PBE
Structure: relaxed

Values from the calculation:
Final energy   -5.240 eV per atom
Space-group type   P4/mmm
E_form   1960.8 meV/atom
Volume   126 Å³ per cell
DOS(E_F)   4.4 states/eV per cell
Total moment   5.0 μB per cell

a b c (Å): 5.045 5.045 4.967
angles (deg): 90.00 90.00 90.00
Sites, in units of the cell vectors:
Li  0.000  0.000  0.000
Re  0.000  0.500  0.500
Re  0.500  0.000  0.500
Sn  0.500  0.500  0.500
Pd  0.500  0.500  0.000


Record 2
Compound: LiZnRePd2
Source: Alexandria via LeMat-Bulk
Functional: PBE
Structure: relaxed

Values from the calculation:
Final energy   -4.302 eV per atom
Space-group type   P4/mmm
E_form   902.0 meV/atom
Volume   75 Å³ per cell
DOS(E_F)   5.2 states/eV per cell
Total moment   0.0 μB per cell

a b c (Å): 4.066 4.066 4.509
angles (deg): 90.00 90.00 90.00
Sites, in units of the cell vectors:
Li  0.000  0.000  0.000
Zn  0.500  0.500  0.500
Re  0.000  0.000  0.500
Pd  0.000  0.500  0.000
Pd  0.500  0.000  0.000


Record 3
Compound: LiZnRe2Pd
Source: Alexandria via LeMat-Bulk
Functional: PBE
Structure: relaxed

Values from the calculation:
Final energy   -4.920 eV per atom
Space-group type   P4/mmm
E_form   1735.8 meV/atom
Volume   98 Å³ per cell
DOS(E_F)   5.3 states/eV per cell
Total moment   2.6 μB per cell

a b c (Å): 4.770 4.770 4.305
angles (deg): 90.00 90.00 90.00
Sites, in units of the cell vectors:
Li  0.000  0.000  0.000
Zn  0.500  0.500  0.000
Re  0.000  0.500  0.500
Re  0.500  0.000  0.500
Pd  0.000  0.000  0.500


Record 4
Compound: Li12PdRh2
Source: Alexandria via LeMat-Bulk
Functional: PBE
Structure: relaxed

Values from the calculation:
Final energy   -2.921 eV per atom
Space-group type   Cmme
E_form   -63.2 meV/atom
Volume   483 Å³ per cell
DOS(E_F)   11.4 states/eV per cell
Total moment   1.1 μB per cell

a b c (Å): 5.210 5.210 20.414
angles (deg): 90.00 90.00 119.37
Sites, in units of the cell vectors:
Li  0.001  0.501  0.878
Li  0.002  0.998  0.940
Li  0.015  0.515  0.358
Li  0.086  0.914  0.550
Li  0.250  0.250  0.192
Li  0.250  0.250  0.305
Li  0.250  0.250  0.695
Li  0.250  0.250  0.808
Li  0.414  0.586  0.550
Li  0.485  0.985  0.358
Li  0.498  0.502  0.940
Li  0.499  0.999  0.878
Li  0.501  0.001  0.122
Li  0.502  0.498  0.060
Li  0.515  0.015  0.642
Li  0.586  0.414  0.450
Li  0.750  0.750  0.192
Li  0.750  0.750  0.305
Li  0.750  0.750  0.695
Li  0.750  0.750  0.808
Li  0.914  0.086  0.450
Li  0.985  0.485  0.642
Li  0.998  0.002  0.060
Li  0.999  0.499  0.122
Pd  0.250  0.750  0.001
Pd  0.750  0.250  0.999
Rh  0.250  0.750  0.242
Rh  0.250  0.750  0.756
Rh  0.750  0.250  0.244
Rh  0.750  0.250  0.758


Record 5
Compound: Li4PdRh2
Source: Alexandria via LeMat-Bulk
Functional: PBE
Structure: relaxed

Values from the calculation:
Final energy   -4.152 eV per atom
Space-group type   R-3m
E_form   -215.7 meV/atom
Volume   99 Å³ per cell
DOS(E_F)   5.5 states/eV per cell
Total moment   0.9 μB per cell

a b c (Å): 15.412 15.412 15.412
angles (deg): 10.18 10.18 10.18
Sites, in units of the cell vectors:
Li  0.137  0.137  0.137
Li  0.287  0.287  0.287
Li  0.713  0.713  0.713
Li  0.863  0.863  0.863
Pd  0.000  0.000  0.000
Rh  0.426  0.426  0.426
Rh  0.574  0.574  0.574


Record 6
Compound: LiPd2Rh
Source: Alexandria via LeMat-Bulk
Functional: PBE
Structure: relaxed

Values from the calculation:
Final energy   -5.026 eV per atom
Space-group type   P4/mmm
E_form   -112.9 meV/atom
Volume   57 Å³ per cell
DOS(E_F)   3.4 states/eV per cell
Total moment   1.7 μB per cell
ΔE to the lowest computed polymorph   108 meV per atom

a b c (Å): 2.804 2.804 7.239
angles (deg): 90.00 90.00 90.00
Sites, in units of the cell vectors:
Li  0.000  0.000  0.000
Pd  0.500  0.500  0.235
Pd  0.500  0.500  0.765
Rh  0.000  0.000  0.500


Record 7
Compound: Li5PdRh
Source: Alexandria via LeMat-Bulk
Functional: PBE
Structure: relaxed

Values from the calculation:
Final energy   -3.240 eV per atom
Space-group type   P4/mmm
E_form   -80.8 meV/atom
Volume   107 Å³ per cell
DOS(E_F)   2.4 states/eV per cell
Total moment   0.0 μB per cell
ΔE to the lowest computed polymorph   56 meV per atom

a b c (Å): 4.008 4.008 6.678
angles (deg): 90.00 90.00 90.00
Sites, in units of the cell vectors:
Li  0.000  0.000  0.000
Li  0.000  0.500  0.271
Li  0.000  0.500  0.729
Li  0.500  0.000  0.271
Li  0.500  0.000  0.729
Pd  0.000  0.000  0.500
Rh  0.500  0.500  0.000


Record 8
Compound: Li2Pd2Rh
Source: Alexandria via LeMat-Bulk
Functional: PBE
Structure: relaxed

Values from the calculation:
Final energy   -4.505 eV per atom
Space-group type   P4/mbm
E_form   -191.8 meV/atom
Volume   132 Å³ per cell
DOS(E_F)   4.6 states/eV per cell
Total moment   0.0 μB per cell
ΔE to the lowest computed polymorph   0 meV per atom

a b c (Å): 6.884 6.884 2.786
angles (deg): 90.00 90.00 90.00
Sites, in units of the cell vectors:
Li  0.119  0.381  0.000
Li  0.381  0.881  0.000
Li  0.619  0.119  0.000
Li  0.881  0.619  0.000
Pd  0.184  0.684  0.500
Pd  0.316  0.184  0.500
Pd  0.684  0.816  0.500
Pd  0.816  0.316  0.500
Rh  0.000  0.000  0.000
Rh  0.500  0.500  0.000


Record 9
Compound: Li8Pd2Rh
Source: Alexandria via LeMat-Bulk
Functional: PBE
Structure: relaxed

Values from the calculation:
Final energy   -3.138 eV per atom
Space-group type   C2/m
E_form   -133.4 meV/atom
Volume   193 Å³ per cell
DOS(E_F)   3.0 states/eV per cell
Total moment   0.0 μB per cell
ΔE to the lowest computed polymorph   82 meV per atom

a b c (Å): 6.666 6.666 4.492
angles (deg): 100.26 100.26 84.18
Sites, in units of the cell vectors:
Li  0.083  0.083  0.304
Li  0.147  0.629  0.142
Li  0.362  0.362  0.469
Li  0.371  0.853  0.858
Li  0.629  0.147  0.142
Li  0.638  0.638  0.531
Li  0.853  0.371  0.858
Li  0.917  0.917  0.696
Pd  0.223  0.223  0.890
Pd  0.777  0.777  0.110
Rh  0.500  0.500  0.000


Record 10
Compound: LiPd2Rh
Source: Alexandria via LeMat-Bulk
Functional: PBE
Structure: relaxed

Values from the calculation:
Final energy   -4.951 eV per atom
Space-group type   Fm-3m
E_form   -38.4 meV/atom
Volume   59 Å³ per cell
DOS(E_F)   5.1 states/eV per cell
Total moment   1.6 μB per cell
ΔE to the lowest computed polymorph   183 meV per atom

a b c (Å): 4.361 4.361 4.361
angles (deg): 60.00 60.00 60.00
Sites, in units of the cell vectors:
Li  0.000  0.000  0.000
Pd  0.250  0.250  0.250
Pd  0.750  0.750  0.750
Rh  0.500  0.500  0.500


Record 11
Compound: LiPd2Rh
Source: Alexandria via LeMat-Bulk
Functional: PBE
Structure: relaxed

Values from the calculation:
Final energy   -5.028 eV per atom
Space-group type   R-3m
E_form   -115.0 meV/atom
Volume   58 Å³ per cell
DOS(E_F)   4.7 states/eV per cell
Total moment   0.8 μB per cell
ΔE to the lowest computed polymorph   106 meV per atom

a b c (Å): 9.007 9.007 9.007
angles (deg): 17.55 17.55 17.55
Sites, in units of the cell vectors:
Li  0.000  0.000  0.000
Pd  0.253  0.253  0.253
Pd  0.747  0.747  0.747
Rh  0.500  0.500  0.500


Record 12
Compound: Li3PdRh
Source: Alexandria via LeMat-Bulk
Functional: PBE
Structure: relaxed

Values from the calculation:
Final energy   -3.717 eV per atom
Space-group type   R-3
E_form   -59.8 meV/atom
Volume   152 Å³ per cell
DOS(E_F)   6.4 states/eV per cell
Total moment   0.0 μB per cell
ΔE to the lowest computed polymorph   0 meV per atom

a b c (Å): 8.516 8.516 8.516
angles (deg): 31.71 31.71 31.71
Sites, in units of the cell vectors:
Li  0.096  0.749  0.401
Li  0.251  0.599  0.904
Li  0.401  0.096  0.749
Li  0.599  0.904  0.251
Li  0.749  0.401  0.096
Li  0.904  0.251  0.599
Pd  0.168  0.168  0.168
Pd  0.832  0.832  0.832
Rh  0.332  0.332  0.332
Rh  0.668  0.668  0.668


Record 13
Compound: Li2Pd6Rh
Source: Alexandria via LeMat-Bulk
Functional: PBE
Structure: relaxed

Values from the calculation:
Final energy   -4.724 eV per atom
Space-group type   C2/m
E_form   -20.1 meV/atom
Volume   140 Å³ per cell
DOS(E_F)   9.1 states/eV per cell
Total moment   2.3 μB per cell
ΔE to the lowest computed polymorph   49 meV per atom

a b c (Å): 7.198 7.198 4.147
angles (deg): 106.68 106.68 43.30
Sites, in units of the cell vectors:
Li  0.163  0.163  0.163
Li  0.837  0.837  0.837
Pd  0.149  0.644  0.397
Pd  0.290  0.290  0.791
Pd  0.356  0.851  0.603
Pd  0.644  0.149  0.397
Pd  0.710  0.710  0.209
Pd  0.851  0.356  0.603
Rh  0.500  0.500  0.000